The following is a DFT calculation (PBE) of a relaxed structure of Ac6NiIr2I3.

Cell lengths 7.599, 7.599, 9.000 Å; angles 98.09, 98.09, 120.01 degrees
Element x y z (fractional)
1 Ac 0.939 0.604 0.817
2 Ac 0.727 0.727 0.183
3 Ac 0.061 0.396 0.183
4 Ac 0.604 0.939 0.817
5 Ac 0.273 0.273 0.817
6 Ac 0.396 0.061 0.183
7 Ni 0.000 0.000 0.000
8 Ir 0.333 0.667 0.000
9 Ir 0.667 0.333 0.000
10 I 0.167 0.833 0.500
11 I 0.833 0.167 0.500
12 I 0.500 0.500 0.500

Calculated values
Formation energy from raw total energies   -0.9597 eV per atom
Energy   -64.32 eV for the cell shown
Density   8.40 g/cm³